1.
A geometry-optimized KTc2Ru structure, computed with PBE-GGA.

a = 2.6586 Å, b = 5.1824 Å, c = 10.6122 Å
α = 90.00°, β = 90.00°, γ = 90.00°
Closest atoms and distances in Å follow each position.
Space group Immm (No. 71)
Asymmetric unit:
K (0.0000, 0.0000, 0.0000) x2  2 K 2.66, 4 Ru 2.91
Tc (0.0000, 0.5000, 0.2103) x4  2 Ru 2.60, 2 Tc 2.66
Ru (0.0000, 0.0000, 0.5000) x2  4 Tc 2.60, 2 Ru 2.66

- Volume: 18.3 Å³ per atom
- E_form: 425.2 kJ/mol of formula units
- Crystal system: orthorhombic
- Total magnetic moment: 0.0001 μB/atom
- Electronic total energy: -6.675 eV per atom
- Polymorph energy (0 for the lowest one): 352.9 meV per atom



2.
A geometry-optimized UPa2Mn structure, computed with PBE-GGA.

a = 5.1813 Å, b = 5.1813 Å, c = 3.0748 Å
α = 90.00°, β = 90.00°, γ = 90.00°
Closest atoms and distances in Å follow each position.
Space group P4/mmm (No. 123)
Asymmetric unit:
U (0.0000, 0.0000, 0.0000) x1  8 Pa 3.01, 2 U 3.07
Pa (0.0000, 0.5000, 0.5000) x2  4 Mn 3.01, 4 U 3.01, 2 Pa 3.07
Mn (0.5000, 0.5000, 0.0000) x1  8 Pa 3.01, 2 Mn 3.07

- Volume: 20.6 Å³ per atom
- E_form: 45.1 kJ/mol of formula units
- Crystal system: tetragonal
- Total magnetic moment: 0.4054 μB/atom
- Electronic total energy: -9.745 eV per atom
- Polymorph energy (0 for the lowest one): 0.0 meV per atom